Entry 1:
Here is a relaxed USn2S4 crystal from Alexandria. Energies are from PBE.

## Properties
The density comes out at 5.721 g cm⁻³. As for the total energy: -5.8692 eV/atom. As for the space group: Cmcm (63). The crystal system is orthorhombic.

Cell: 3.7975 7.2787 13.1334 Å, 90.00 90.00 105.12°
Last column: nearest neighbours and their distance in Å.
Positions (direct):
S1 0.5000 0.0000 0.5000  4 Sn 2.75
S2 0.7929 0.5858 0.1271  3 Sn 2.77-3.10, 2 U 2.79
S3 0.7929 0.5858 0.3729  3 Sn 2.77-3.10, 2 U 2.79
S4 0.9836 0.9671 0.7500  2 U 2.68, 2 Sn 2.88
S5 0.2071 0.4142 0.8729  3 Sn 2.77-3.10, 2 U 2.79
S6 0.0164 0.0329 0.2500  2 U 2.68, 2 Sn 2.88
S7 0.2071 0.4142 0.6271  3 Sn 2.77-3.10, 2 U 2.79
S8 0.5000 0.0000 0.0000  4 Sn 2.75
U1 0.3815 0.7630 0.2500  6 S 2.68-2.79
U2 0.6185 0.2370 0.7500  6 S 2.68-2.79
Sn1 0.8722 0.7444 0.9337  4 S 2.75-2.88
Sn2 0.8722 0.7444 0.5663  4 S 2.75-2.88
Sn3 0.1278 0.2556 0.0663  4 S 2.75-2.88
Sn4 0.1278 0.2556 0.4337  4 S 2.75-2.88

Entry 2:
Here is a relaxed Zn2GaCu crystal from Alexandria. Energies are from PBE.

## Properties
The density comes out at 7.421 g cm⁻³. As for the total energy: -2.4330 eV/atom. As for the space group: P2_1/m (11). The crystal system is monoclinic.

Cell: 5.3252 4.2027 5.2854 Å, 87.57 90.00 90.00°
Last column: nearest neighbours and their distance in Å.
Positions (direct):
Zn1 0.4955 0.7473 0.6619  3 Cu 2.57-2.70, 4 Zn 2.61-2.75, 3 Ga 2.69-2.79
Zn2 0.9955 0.2527 0.3382  3 Cu 2.57-2.70, 4 Zn 2.61-2.75, 3 Ga 2.69-2.79
Zn3 0.0045 0.7473 0.6619  3 Cu 2.57-2.70, 4 Zn 2.61-2.75, 3 Ga 2.69-2.79
Zn4 0.5045 0.2527 0.3382  3 Cu 2.57-2.70, 4 Zn 2.61-2.75, 3 Ga 2.69-2.79
Cu1 0.7500 0.2439 0.7850  6 Zn 2.57-2.70, 4 Ga 2.66-2.85
Cu2 0.2500 0.7560 0.2151  6 Zn 2.57-2.70, 4 Ga 2.66-2.85
Ga1 0.7500 0.7543 0.1221  4 Cu 2.66-2.85, 6 Zn 2.69-2.79
Ga2 0.2500 0.2457 0.8779  4 Cu 2.66-2.85, 6 Zn 2.69-2.79

Entry 3:
Here is a relaxed SmTm4Pb crystal from Alexandria. Energies are from PBE.

## Properties
The density comes out at 7.844 g cm⁻³. As for the total energy: -3.8383 eV/atom. As for the space group: I4_1md (109). The crystal system is tetragonal.

Cell: 8.4023 8.4023 8.4023 Å, 103.21 103.21 122.90°
Last column: nearest neighbours and their distance in Å.
Positions (direct):
Tm1 0.7125 0.4661 0.2464  2 Sm 2.79-2.81
Tm2 0.8132 0.0081 0.8051  2 Pb 3.09-3.20, 1 Sm 3.30
Tm3 0.2161 0.4697 0.2536  2 Sm 2.79-2.81
Tm4 0.2161 0.9625 0.7464  2 Sm 2.79-2.81
Tm5 0.2197 0.4661 0.7536  2 Sm 2.79-2.81
Tm6 0.2030 0.0081 0.1949  2 Pb 3.09-3.20, 1 Sm 3.30
Tm7 0.7581 0.0632 0.3051  2 Pb 3.09-3.20, 1 Sm 3.30
Tm8 0.7581 0.4530 0.6949  2 Pb 3.09-3.20, 1 Sm 3.30
Sm1 0.0824 0.5824 0.5000  4 Tm 2.79-2.81, 1 Pb 3.11
Sm2 0.3324 0.3324 0.0000  4 Tm 2.79-2.81, 1 Pb 3.11
Pb1 0.4691 0.9691 0.5000  6 Tm 3.09-3.28, 1 Sm 3.11
Pb2 0.7191 0.7191 0.0000  6 Tm 3.09-3.28, 1 Sm 3.11

Entry 4:
Here is a relaxed BeRuSe crystal from Alexandria. Energies are from PBE.

## Properties
The density comes out at 7.442 g cm⁻³. As for the total energy: -5.1729 eV/atom. As for the space group: P3m1 (156). The crystal system is trigonal.

Cell: 3.9082 3.9082 3.1889 Å, 90.00 90.00 120.00°
Last column: nearest neighbours and their distance in Å.
Positions (direct):
Ru1 0.6667 0.3333 0.1661  3 Be 2.26
Be1 0.0000 0.0000 0.1689  3 Ru 2.26
Se1 0.3333 0.6667 0.6650  6 Be 2.76-2.77, 6 Ru 2.76